Entry from the Alexandria database: a geometry-optimized CaNdAgAu structure (PBE-GGA).

- Formation energy from the elements: -561 meV per atom
- E_tot: -0.27820 Ry per atom
- Space-group type: F-43m

Lattice parameters (Å, degrees): 5.2198 5.2198 5.2198 60.00 60.00 60.00
Sites, in units of the cell vectors:
Au  0.7500  0.7500  0.7500
Ag  0.2500  0.2500  0.2500
Nd  0.5000  0.5000  0.5000
Ca  0.0000  0.0000  0.0000



Entry from the Alexandria database: a geometry-optimized Nd2Dy5Tm structure (PBE-GGA).

- Formation energy from the elements: 19 meV per atom
- E_tot: -0.33867 Ry per atom
- E above lowest polymorph: 0.00 eV per formula unit
- Space-group type: Pbam

Lattice parameters (Å, degrees): 5.0406 7.1400 14.2823 90.00 90.00 90.00
Sites, in units of the cell vectors:
Dy  0.0000  0.0000  0.0000
Dy  0.5000  0.7513  0.1249
Dy  0.5000  0.2513  0.3751
Dy  0.0000  0.4986  0.7503
Dy  0.5000  0.7487  0.6249
Dy  0.0000  0.9986  0.7497
Dy  0.0000  0.0014  0.2503
Dy  0.5000  0.2487  0.8751
Dy  0.0000  0.5000  0.5000
Dy  0.0000  0.5014  0.2497
Tm  0.0000  0.5000  0.0000
Tm  0.0000  0.0000  0.5000
Nd  0.5000  0.2513  0.1248
Nd  0.5000  0.2487  0.6248
Nd  0.5000  0.7487  0.8752
Nd  0.5000  0.7513  0.3752



What did the second record say?
Entry from the Alexandria database: a geometry-optimized Nd2Dy5Tm structure (PBE-GGA).

- Formation energy from the elements: 19 meV per atom
- E_tot: -0.33867 Ry per atom
- E above lowest polymorph: 0.00 eV per formula unit
- Space-group type: Pbam

Lattice parameters (Å, degrees): 5.0406 7.1400 14.2823 90.00 90.00 90.00
Sites, in units of the cell vectors:
Dy  0.0000  0.0000  0.0000
Dy  0.5000  0.7513  0.1249
Dy  0.5000  0.2513  0.3751
Dy  0.0000  0.4986  0.7503
Dy  0.5000  0.7487  0.6249
Dy  0.0000  0.9986  0.7497
Dy  0.0000  0.0014  0.2503
Dy  0.5000  0.2487  0.8751
Dy  0.0000  0.5000  0.5000
Dy  0.0000  0.5014  0.2497
Tm  0.0000  0.5000  0.0000
Tm  0.0000  0.0000  0.5000
Nd  0.5000  0.2513  0.1248
Nd  0.5000  0.2487  0.6248
Nd  0.5000  0.7487  0.8752
Nd  0.5000  0.7513  0.3752



- E_tot of number 1 (CaNdAgAu)?
  -0.27820 Ry per atom